Computed, not measured: a geometry-optimized Cs2AlBr6Cl structure at the PBE level of DFT.

Lattice parameters (Å, degrees): 8.0020 8.0020 8.0020 116.80 116.80 95.64
Positions (direct):
Cs 0.2500 0.7500 0.5000
Cs 0.7500 0.2500 0.5000
Al 0.0000 0.0000 0.0000
Br 0.2048 0.2048 0.4097
Br 0.2048 0.7952 0.0000
Br 0.2714 0.2714 0.0000
Br 0.7286 0.7286 0.0000
Br 0.7952 0.2048 0.0000
Br 0.7952 0.7952 0.5903
Cl 0.5000 0.5000 0.0000

Values from the calculation:
* VASP energy: -2.8496 eV/atom
* total magnetization: 0.00 μB per formula unit


Computed, not measured: a geometry-optimized InOs2Pt structure at the PBE level of DFT.

Lattice parameters (Å, degrees): 7.1561 7.1561 7.1561 131.65 131.65 70.78
Positions (direct):
In 0.0000 0.0000 0.0000
In 0.7500 0.2500 0.5000
Os 0.1655 0.6250 0.0405
Os 0.3750 0.4155 0.5405
Os 0.5845 0.1250 0.9595
Os 0.8750 0.8345 0.4595
Pt 0.2500 0.7500 0.5000
Pt 0.5000 0.5000 0.0000

Values from the calculation:
* calculated formation energy: 157 kJ per mole of atoms
* total magnetization: 0.00 μB per formula unit
* energy above the lowest structure with this stoichiometry: 1.532 eV/atom


Computed, not measured: a geometry-optimized La2ZnRh structure at the PBE level of DFT.

Lattice parameters (Å, degrees): 4.6588 3.9293 5.9604 90.00 90.77 90.00
Positions (direct):
La 0.0000 0.0000 0.0000
La 0.5000 0.5000 0.5000
Zn 0.0000 0.0000 0.5000
Rh 0.5000 0.5000 0.0000

Values from the calculation:
* calculated formation energy: -30 kJ per mole of atoms
* total magnetization: 0.00 μB per formula unit